Record 1
Compound: Zr2GaOs3
Source: OQMD
Functional: GGA-PBE
Structure: relaxed

The structure in POSCAR format:
```
Zr2GaOs3
1.0
5.3414 0.0000 0.0000
-2.6707 4.6258 0.0000
0.0000 0.0000 8.2158
Zr Os Ga
4 6 2
direct
0.6667 0.3333 0.9374
0.3333 0.6667 0.0626
0.6667 0.3333 0.5626
0.3333 0.6667 0.4374
0.1713 0.8287 0.7500
0.1713 0.3425 0.7500
0.3425 0.1713 0.2500
0.8287 0.1713 0.2500
0.6575 0.8287 0.7500
0.8287 0.6575 0.2500
0.0000 0.0000 0.0000
0.0000 0.0000 0.5000
```

Results
- electronic total energy (eV per atom) = -9.33

Record 2
Compound: Zr6Ga16Os7
Source: OQMD
Functional: GGA-PBE
Structure: relaxed

The structure in POSCAR format:
```
Zr6Ga16Os7
1.0
-6.2152 6.2152 0.0000
6.2152 0.0000 -6.2152
-6.2152 -6.2152 0.0000
Zr Os Ga
6 7 16
direct
0.2841 0.0000 0.2841
0.2841 0.5683 0.2841
0.7159 0.4317 0.7159
0.7159 0.0000 0.7159
0.7159 0.0000 0.2841
0.2841 0.0000 0.7159
0.5000 0.0000 0.0000
0.0000 0.5000 0.0000
0.0000 0.0000 0.5000
0.5000 0.5000 0.5000
0.5000 0.5000 0.0000
0.0000 0.0000 0.0000
0.0000 0.5000 0.5000
0.1232 0.2463 0.8768
0.6305 0.7537 0.8768
0.6557 0.3114 0.3443
0.6557 0.3114 0.9671
0.3443 0.6886 0.6557
0.8768 0.7537 0.6305
0.9671 0.3114 0.6557
0.3695 0.2463 0.1232
0.8768 0.7537 0.1232
0.6557 0.6886 0.3443
0.1232 0.7537 0.8768
0.1232 0.2463 0.3695
0.3443 0.3114 0.6557
0.0329 0.6886 0.3443
0.8768 0.2463 0.1232
0.3443 0.6886 0.0329
```

Results
- electronic total energy (eV per atom) = -6.49